# 1
Here is PmGeO2 after structural relaxation from the Alexandria database. Energies are from PBE-GGA.

Cell lengths 6.985, 6.985, 6.985 Å; angles 28.52, 28.52, 28.52 degrees
Atoms (fractional coordinates):
Pm: 0.000 0.000 0.000
Ge: 0.500 0.500 0.500
O: 0.114 0.114 0.114
O: 0.886 0.886 0.886

- space-group type = R-3m (166)
- DOS at the Fermi energy (states/eV/cell) = 2.65

---

# 2
Here is NaY2Zr after structural relaxation from the Alexandria database. Energies are from PBE-GGA.

Cell lengths 5.474, 5.474, 5.474 Å; angles 60.00, 60.00, 60.00 degrees
Atoms (fractional coordinates):
Na: 0.000 0.000 0.000
Y: 0.250 0.250 0.250
Y: 0.750 0.750 0.750
Zr: 0.500 0.500 0.500

- DFT formation energy (eV/atom) = 0.41
- offset from the most stable computed form (kJ per mole of atoms) = 27.75
- space-group type = Fm-3m (225)
- DOS at the Fermi energy (states/eV/cell) = 6.58

---

# 3
Here is Er5In2Co after structural relaxation from the Alexandria database. Energies are from PBE-GGA.

Cell lengths 6.932, 12.273, 4.811 Å; angles 90.00, 90.00, 90.00 degrees
Atoms (fractional coordinates):
Er: 0.000 0.000 0.000
Er: 0.115 0.293 0.000
Er: 0.176 0.582 0.500
Er: 0.324 0.082 0.500
Er: 0.385 0.793 0.000
Er: 0.500 0.500 0.000
Er: 0.615 0.207 0.000
Er: 0.676 0.918 0.500
Er: 0.824 0.418 0.500
Er: 0.885 0.707 0.000
In: 0.108 0.840 0.500
In: 0.392 0.340 0.500
In: 0.608 0.660 0.500
In: 0.892 0.160 0.500
Co: 0.000 0.500 0.000
Co: 0.500 0.000 0.000

- DFT formation energy (eV/atom) = -0.30
- space-group type = Pbam (55)
- DOS at the Fermi energy (states/eV/cell) = 13.02

---

# 4
Here is TmSc2Tl after structural relaxation from the Alexandria database. Energies are from PBE-GGA.

Cell lengths 10.667, 10.667, 10.667 Å; angles 18.22, 18.22, 18.22 degrees
Atoms (fractional coordinates):
Tm: 0.000 0.000 0.000
Sc: 0.247 0.247 0.247
Sc: 0.753 0.753 0.753
Tl: 0.500 0.500 0.500

- DFT formation energy (eV/atom) = -0.07
- offset from the most stable computed form (kJ per mole of atoms) = 10.41
- space-group type = R-3m (166)
- DOS at the Fermi energy (states/eV/cell) = 4.85

---

Raw total energy values, unit eV per atom, following the record order: -5.981 -5.293 -4.729 -4.944.
M_tot values, unit μB per atom, following the record order: 0.0000 0.4646 0.0000 0.0000.